No. 1
The following is a PBE calculation of an optimized crystal structure of BaAsN2F, from Alexandria.

Structure (extended XYZ):
```
5
Lattice="3.918 0.000 0.000 0.000 3.918 0.000 0.000 0.000 4.745" Properties=species:S:1:pos:R:3 pbc="T T T"
Ba 0.000 0.000 0.000
As 1.959 1.959 2.373
N 0.000 1.959 2.373
N 1.959 0.000 2.373
F 1.959 1.959 0.000
```

Properties
mass density	5.91	g/cm³
uncorrected formation energy	-271	kJ/mol of formula units

=====

No. 2
The following is a PBE calculation of an optimized crystal structure of BaNa2AsF, from Alexandria.

Structure (extended XYZ):
```
5
Lattice="4.786 0.000 0.000 0.000 4.786 0.000 0.000 0.000 5.378" Properties=species:S:1:pos:R:3 pbc="T T T"
Ba 0.000 0.000 0.000
Na 0.000 2.393 2.689
Na 2.393 0.000 2.689
As 2.393 2.393 0.000
F 0.000 0.000 2.689
```

Properties
mass density	3.74	g/cm³
uncorrected formation energy	-721	kJ/mol of formula units

=====

No. 3
The following is a PBE calculation of an optimized crystal structure of Ba2NaAsF, from Alexandria.

Structure (extended XYZ):
```
5
Lattice="5.531 0.000 0.000 0.000 5.531 0.000 0.000 0.000 4.623" Properties=species:S:1:pos:R:3 pbc="T T T"
Ba 0.000 2.765 0.000
Ba 2.765 0.000 0.000
Na 0.000 0.000 2.311
As 2.765 2.765 2.311
F 0.000 0.000 0.000
```

Properties
mass density	4.60	g/cm³
uncorrected formation energy	-715	kJ/mol of formula units